A plane-wave DFT calculation with PBE-GGA was carried out for Pm6Ge2Te3P after structural relaxation.

abc: 4.3157 8.8031 9.7979
angles: 104.49 102.72 90.00
With the nearest neighbours (Å) after each atom.
Fractional coordinates of all 12 atoms:
Pm  0.6589  0.0972  0.3179  1 P 2.94, 2 Ge 2.97, 3 Te 3.20-3.23
Pm  0.9939  0.7696  0.9878  2 P 2.94, 1 Ge 2.95, 3 Te 3.20-3.23
Pm  0.3411  0.9028  0.6821  1 P 2.94, 2 Ge 2.97, 3 Te 3.20-3.23
Pm  0.6722  0.5684  0.3444  3 Ge 2.98-3.00, 3 Te 3.19-3.20
Pm  0.3278  0.4316  0.6556  3 Ge 2.98-3.00, 3 Te 3.19-3.20
Pm  0.0061  0.2304  0.0122  2 P 2.94, 1 Ge 2.95, 3 Te 3.20-3.23
P  0.5000  0.0000  0.0000  6 Pm 2.94
Te  0.5000  0.5000  0.0000  6 Pm 3.19-3.23
Te  0.1667  0.8341  0.3334  6 Pm 3.20-3.23
Te  0.8333  0.1659  0.6666  6 Pm 3.20-3.23
Ge  0.1658  0.3316  0.3315  6 Pm 2.95-3.00
Ge  0.8342  0.6684  0.6685  6 Pm 2.95-3.00

Calculated values
Electronic total energy = -5.7283 eV/atom
Energy relative to the elements, uncorrected = -1.35 eV/atom
Calculated volume = 29.25 A^3/atom

A plane-wave DFT calculation with PBE-GGA was carried out for CsK2Mg2 after structural relaxation.

abc: 10.7068 10.7068 4.6589
angles: 90.00 90.00 90.00
With the nearest neighbours (Å) after each atom.
Fractional coordinates of all 10 atoms:
Cs  0.0000  0.0000  0.0000  4 Mg 4.38, 8 K 4.58, 2 Cs 4.66
Cs  0.5000  0.5000  0.0000  4 Mg 4.38, 8 K 4.58, 2 Cs 4.66
Mg  0.3960  0.8960  0.0000  1 Mg 3.15
Mg  0.8960  0.6040  0.0000  1 Mg 3.15
Mg  0.6040  0.1040  0.0000  1 Mg 3.15
Mg  0.1040  0.3960  0.0000  1 Mg 3.15
K  0.3235  0.1765  0.5000  6 Mg 3.88-4.06
K  0.1765  0.6765  0.5000  6 Mg 3.88-4.06
K  0.8235  0.3235  0.5000  6 Mg 3.88-4.06
K  0.6765  0.8235  0.5000  6 Mg 3.88-4.06

Calculated values
Electronic total energy = -1.0464 eV/atom
Calculated volume = 53.41 A^3/atom

- The highest electronic total energy belongs to which entry?
  CsK2Mg2